Entry 1:
Computed, not measured: an optimized crystal structure of Te4WAu at the PBE-GGA level of DFT.

The structure in POSCAR format:
```
Te4WAu
1.0
-4.877 -3.262 -1.946
-5.665 2.459 0.258
-2.912 1.606 -5.210
Au Te W
1 4 1
Direct
0.000 0.000 0.000
0.375 0.375 0.876
0.375 0.375 0.375
0.375 0.876 0.375
0.876 0.375 0.375
0.750 0.750 0.750
```

Uncorrected energy in eV/atom: -3.44
Mass density in g cm⁻³: 8.86
Space group: No. 216
Total magnetization in μB/f.u.: 3.59
Formation energy from raw total energies in eV/atom: 1.36

Entry 2:
Computed, not measured: an optimized crystal structure of Cr2IrAu at the PBE-GGA level of DFT.

The structure in POSCAR format:
```
Cr2IrAu
1.0
4.697 -0.049 -0.011
1.654 4.397 0.009
-3.171 -2.182 2.698
Au Ir Cr
1 1 2
Direct
0.750 0.250 0.500
0.250 0.750 0.500
0.000 0.000 0.000
0.500 0.500 0.000
```

Uncorrected energy in eV/atom: -7.63
Mass density in g cm⁻³: 14.65
Formation enthalpy at 0 K in eV/atom: 0.214
Space group: No. 139
Total magnetization in μB/f.u.: 2.03

Entry 3:
Computed, not measured: an optimized crystal structure of ZnPbBr at the PBE-GGA level of DFT.

The structure in POSCAR format:
```
ZnPbBr
1.0
-2.421 -1.958 1.817
2.738 -1.630 -1.686
4.060 0.579 6.034
Br Zn Pb
1 1 1
Direct
0.000 0.000 0.923
0.667 0.333 0.698
0.333 0.667 0.379
```

Uncorrected energy in eV/atom: -2.40
Mass density in g cm⁻³: 7.13
Space group: No. 156
Total magnetization in μB/f.u.: 0.00
Formation energy from raw total energies in eV/atom: -0.18

Entry 4:
Computed, not measured: an optimized crystal structure of LaMgCl at the PBE-GGA level of DFT.

The structure in POSCAR format:
```
LaMgCl
1.0
-1.188 -2.980 -5.223
-5.206 -4.690 3.860
-4.774 4.214 -1.318
La Cl Mg
4 4 4
Direct
0.000 0.500 0.000
0.500 0.500 0.500
0.000 0.000 0.000
0.500 0.000 0.500
0.750 0.750 0.250
0.250 0.250 0.750
0.250 0.750 0.250
0.750 0.250 0.750
0.000 0.250 0.405
0.000 0.750 0.595
0.500 0.250 0.095
0.500 0.750 0.905
```

Uncorrected energy in eV/atom: -3.71
Mass density in g cm⁻³: 4.14
Space group: No. 74
Total magnetization in μB/f.u.: 0.00
Formation energy from raw total energies in eV/atom: -0.92

Entry 5:
Computed, not measured: an optimized crystal structure of YPS4Cl at the PBE-GGA level of DFT.

The structure in POSCAR format:
```
YPS4Cl
1.0
-2.606 5.076 -3.764
-3.396 -3.609 -4.708
-7.865 0.263 4.164
S Cl Y P
8 2 2 2
Direct
0.491 0.847 0.889
0.509 0.153 0.111
0.153 0.509 0.111
0.422 0.422 0.723
0.305 0.305 0.456
0.847 0.491 0.889
0.695 0.695 0.544
0.578 0.578 0.277
0.019 0.019 0.192
0.981 0.981 0.808
0.191 0.191 0.941
0.809 0.809 0.059
0.609 0.609 0.758
0.391 0.391 0.242
```

Uncorrected energy in eV/atom: -5.14
Mass density in g cm⁻³: 2.32
Space group: No. 12
Total magnetization in μB/f.u.: 0.00
Formation energy from raw total energies in eV/atom: -0.82

Entry 6:
Computed, not measured: an optimized crystal structure of Sm4TmTh3 at the PBE-GGA level of DFT.

The structure in POSCAR format:
```
Sm4TmTh3
1.0
-2.117 1.481 4.355
-7.461 -6.857 -1.295
5.478 -6.908 5.013
Th Sm Tm
6 8 2
Direct
0.564 0.620 0.000
0.064 0.619 0.248
0.564 0.381 0.748
0.064 0.380 0.500
0.564 0.381 0.252
0.064 0.619 0.752
0.064 0.865 0.000
0.564 0.868 0.250
0.564 0.130 0.000
0.064 0.132 0.750
0.564 0.868 0.750
0.064 0.132 0.250
0.064 0.870 0.500
0.564 0.135 0.500
0.564 0.620 0.500
0.064 0.380 0.000
```

Uncorrected energy in eV/atom: -5.67
Mass density in g cm⁻³: 9.28
Formation enthalpy at 0 K in eV/atom: 0.031
Space group: No. 59
Total magnetization in μB/f.u.: 0.00

Entry 7:
Computed, not measured: an optimized crystal structure of Dy7NiI12 at the PBE-GGA level of DFT.

The structure in POSCAR format:
```
Dy7NiI12
1.0
0.499 0.196 -9.696
0.126 -9.320 2.723
-8.636 3.645 2.534
Dy I Ni
7 12 1
Direct
0.901 0.971 0.704
0.704 0.901 0.971
0.971 0.704 0.901
0.029 0.296 0.099
0.099 0.029 0.296
0.500 0.500 0.500
0.296 0.099 0.029
0.679 0.224 0.075
0.158 0.390 0.469
0.776 0.925 0.321
0.321 0.776 0.925
0.842 0.610 0.531
0.390 0.469 0.158
0.925 0.321 0.776
0.224 0.075 0.679
0.469 0.158 0.390
0.075 0.679 0.224
0.531 0.842 0.610
0.610 0.531 0.842
0.000 0.000 0.000
```

Uncorrected energy in eV/atom: -4.02
Mass density in g cm⁻³: 5.98
Space group: No. 148
Total magnetization in μB/f.u.: 0.50
Formation energy from raw total energies in eV/atom: -1.19

Entry 8:
Computed, not measured: an optimized crystal structure of Tc2AsOs at the PBE-GGA level of DFT.

The structure in POSCAR format:
```
Tc2AsOs
1.0
-2.143 0.128 -1.910
1.471 -3.123 -1.860
-2.917 -3.195 3.059
Os As Tc
1 1 2
Direct
0.500 0.500 0.776
0.000 0.000 0.475
0.000 0.000 0.964
0.500 0.500 0.285
```

Uncorrected energy in eV/atom: -8.91
Mass density in g cm⁻³: 12.83
Formation enthalpy at 0 K in eV/atom: 0.239
Space group: No. 25
Total magnetization in μB/f.u.: 0.00

Entry 9:
Computed, not measured: an optimized crystal structure of InBiS at the PBE-GGA level of DFT.

The structure in POSCAR format:
```
InBiS
1.0
3.750 0.000 0.000
1.875 3.248 0.000
1.875 1.083 6.382
S In Bi
1 1 1
Direct
0.370 0.370 0.891
0.119 0.119 0.644
0.585 0.585 0.245
```

Uncorrected energy in eV/atom: -3.69
Mass density in g cm⁻³: 7.60
Space group: No. 160
Total magnetization in μB/f.u.: 0.00
Formation energy from raw total energies in eV/atom: -0.11

Entry 10:
Computed, not measured: an optimized crystal structure of PmZrAs2Rh5 at the PBE-GGA level of DFT.

The structure in POSCAR format:
```
PmZrAs2Rh5
1.0
4.066 0.000 0.000
0.000 4.066 0.000
0.000 0.000 10.951
Zr As Pm Rh
1 2 1 5
Direct
0.000 0.000 0.000
0.500 0.500 0.717
0.500 0.500 0.283
0.000 0.000 0.500
0.500 0.500 0.500
0.500 0.000 0.832
0.000 0.500 0.832
0.500 0.000 0.168
0.000 0.500 0.168
```

Uncorrected energy in eV/atom: -7.16
Mass density in g cm⁻³: 8.26
Formation enthalpy at 0 K in eV/atom: -0.564
Space group: No. 123
Total magnetization in μB/f.u.: 0.00

Entry 11:
Computed, not measured: an optimized crystal structure of ErTm3Pb3 at the PBE-GGA level of DFT.

The structure in POSCAR format:
```
ErTm3Pb3
1.0
9.071 0.000 0.000
4.536 7.856 0.000
4.536 2.619 6.071
Tm Pb Er
6 6 2
Direct
0.334 0.835 0.746
0.915 0.666 0.254
0.165 0.915 0.254
0.835 0.085 0.746
0.085 0.334 0.746
0.666 0.165 0.254
0.472 0.087 0.754
0.913 0.313 0.246
0.528 0.913 0.246
0.087 0.687 0.754
0.687 0.472 0.754
0.313 0.528 0.246
0.331 0.331 0.007
0.669 0.669 0.993
```

Uncorrected energy in eV/atom: -4.47
Mass density in g cm⁻³: 9.95
Formation enthalpy at 0 K in eV/atom: -0.308
Space group: No. 148
Total magnetization in μB/f.u.: 0.00

Entry 12:
Computed, not measured: an optimized crystal structure of Al2CuHgSe4 at the PBE-GGA level of DFT.

The structure in POSCAR format:
```
Al2CuHgSe4
1.0
5.718 0.237 -0.001
-0.238 5.718 -0.001
-2.742 -2.979 6.218
Se Al Hg Cu
4 2 1 1
Direct
0.417 0.858 0.275
0.584 0.584 0.725
0.858 0.417 0.275
0.141 0.141 0.725
0.250 0.750 0.500
0.750 0.250 0.500
0.001 0.001 0.001
0.500 0.500 0.999
```

Uncorrected energy in eV/atom: -3.68
Mass density in g cm⁻³: 5.17
Space group: No. 42
Total magnetization in μB/f.u.: 0.00
Formation energy from raw total energies in eV/atom: -0.45

Q: total magnetization of number 8 (Tc2AsOs)?
A: 0.00 μB/f.u.

Q: The lowest uncorrected energy belongs to which entry?
A: Tc2AsOs

Q: What is the uncorrected energy in the ninth record?
A: -3.69 eV/atom